## SiGeAuS (PBE)

Data for a relaxed SiGeAuS crystal.

Cell and atoms, written as POSCAR:
```
SiGeAuS
1.0
4.109 0.000 0.001
-1.621 4.013 -0.008
-0.888 -1.311 5.127
Si Ge Au S
1 1 1 1
Direct
0.491 0.435 0.448
0.128 0.773 0.477
0.225 0.969 0.051
0.700 0.377 0.832
```

The calculated density is 6480 kg/m3. The raw total energy comes out at -17.1 eV per cell. Its energy relative to the lowest polymorph listed for this composition is 168 meV/atom. The value obtained for the raw formation energy is 0.09 eV/atom. The calculation puts the density of states at the Fermi level at 1.04 states/eV/cell.